1.
A plane-wave DFT calculation with GGA-PBE was carried out for crystalline PuTl5Se4 at its relaxed geometry.

**Size of the total moment**: 4.96 Bohr magnetons per cell
**Raw formation energy**: -647 meV/atom
**DOS at the Fermi energy**: 11.8 states/eV/cell

Cell: 9.8108 9.8108 8.6522 Å, 111.61 111.61 25.48°
Fractional coordinates of all 10 atoms:
Pu: 0.0000 0.0000 0.0000
Tl: 0.0000 0.0000 0.5000
Tl: 0.3072 0.3072 0.6853
Tl: 0.3470 0.3470 0.2030
Tl: 0.6530 0.6530 0.7970
Tl: 0.6928 0.6928 0.3147
Se: 0.1597 0.1597 0.0467
Se: 0.4724 0.4724 0.7581
Se: 0.5276 0.5276 0.2419
Se: 0.8403 0.8403 0.9533

2.
A plane-wave DFT calculation with GGA-PBE was carried out for crystalline LiMgO2 at its relaxed geometry.

**Size of the total moment**: 1.00 Bohr magnetons per cell
**Raw formation energy**: -1620 meV/atom
**DOS at the Fermi energy**: 3.7 states/eV/cell

Cell: 6.0014 6.0014 6.0014 Å, 29.23 29.23 29.23°
Fractional coordinates of all 4 atoms:
Li: 0.0000 0.0000 0.0000
Mg: 0.5000 0.5000 0.5000
O: 0.1021 0.1021 0.1021
O: 0.8979 0.8979 0.8979

3.
A plane-wave DFT calculation with GGA-PBE was carried out for crystalline InTeSeBr2 at its relaxed geometry.

**ΔE to the lowest computed polymorph**: 0.000 eV/atom
**Size of the total moment**: 0.00 Bohr magnetons per cell
**Raw formation energy**: -135 meV/atom
**DOS at the Fermi energy**: 1.6 states/eV/cell

Cell: 5.8358 5.8358 5.5685 Å, 90.00 90.00 90.00°
Fractional coordinates of all 5 atoms:
In: 0.0000 0.0000 0.0000
Te: 0.5000 0.5000 0.5000
Se: 0.5000 0.5000 0.0000
Br: 0.0000 0.5000 0.5000
Br: 0.5000 0.0000 0.5000